A plane-wave DFT calculation with PBE was carried out for crystalline La3Ce4Ru4 at its relaxed geometry.

a = 3.735 Å, b = 9.650 Å, c = 9.090 Å
α = 122.06°, β = 101.85°, γ = 90.00°
Atoms (fractional coordinates):
Ru: 0.500 0.769 0.000
La: 0.106 0.106 0.211
Ru: 0.214 0.714 0.427
Ce: 0.336 0.530 0.672
La: 0.000 0.500 0.000
La: 0.894 0.894 0.789
Ce: 0.336 0.142 0.672
Ru: 0.786 0.286 0.573
Ce: 0.664 0.470 0.328
Ce: 0.664 0.858 0.328
Ru: 0.500 0.231 0.000

## Properties
Polymorph energy (0 for the lowest one) (meV/atom): 0
Space group: Immm
Size of the total moment (μB per cell): 0.00
Crystal system: orthorhombic
Energy of formation from the pure elements (eV/atom): -0.28
Volume (Å³ per atom): 24.49